# 1
Density functional theory data (meta-GGA SCAN) for Cr2IrRh at its PBEsol-relaxed geometry.

Geometry as CIF:
```
data_Cr2IrRh
_chemical_formula_sum 'Cr2 Ir1 Rh1'
_space_group_name_H-M_alt 'P m m 2'
_space_group_IT_number 25
_cell_length_a 2.643
_cell_length_b 4.159
_cell_length_c 4.548
_cell_angle_alpha 90.00
_cell_angle_beta 90.00
_cell_angle_gamma 90.00
loop_
_space_group_symop_operation_xyz
'x,y,z'
'-x,-y,z'
'-x,y,z'
'x,-y,z'
loop_
_atom_site_label
_atom_site_fract_x
_atom_site_fract_y
_atom_site_fract_z
Cr1 0.000 0.000 0.000
Cr2 0.000 0.500 0.326
Ir1 0.500 0.500 0.843
Rh1 0.500 0.000 0.478
```

## Properties
Final energy ... -35.6476 eV per atom
Energy relative to the elements ... -0.238 eV per atom


# 2
Density functional theory data (meta-GGA SCAN) for TlAsSCl2 at its PBEsol-relaxed geometry.

Geometry as CIF:
```
data_TlAsSCl2
_chemical_formula_sum 'Tl1 As1 S1 Cl2'
_space_group_name_H-M_alt 'P 4/m m m'
_space_group_IT_number 123
_space_group_name_Hall '-P 4 2'
_cell_length_a 5.060
_cell_length_b 5.060
_cell_length_c 4.753
_cell_angle_alpha 90.00
_cell_angle_beta 90.00
_cell_angle_gamma 90.00
loop_
_atom_site_label
_atom_site_fract_x
_atom_site_fract_y
_atom_site_fract_z
Tl1 0.000 0.000 0.000
As1 0.500 0.500 0.500
S1 0.500 0.500 0.000
Cl1 0.000 0.500 0.500
```

## Properties
Final energy ... -24.1207 eV per atom
Formation energy from raw total energies ... -0.494 eV per atom


# 3
Density functional theory data (meta-GGA SCAN) for AlRh2Pb at its PBEsol-relaxed geometry.

Geometry as CIF:
```
data_AlRh2Pb
_chemical_formula_sum 'Al1 Rh2 Pb1'
_space_group_name_H-M_alt 'P 4 m m'
_space_group_IT_number 99
_cell_length_a 3.373
_cell_length_b 3.373
_cell_length_c 5.861
_cell_angle_alpha 90.00
_cell_angle_beta 90.00
_cell_angle_gamma 90.00
loop_
_space_group_symop_operation_xyz
'x,y,z'
'-y,x,z'
'-x,-y,z'
'y,-x,z'
'-x,y,z'
'y,x,z'
'x,-y,z'
'-y,-x,z'
loop_
_atom_site_label
_atom_site_fract_x
_atom_site_fract_y
_atom_site_fract_z
Al1 0.000 0.000 0.000
Rh1 0.000 0.000 0.571
Rh2 0.500 0.500 0.876
Pb1 0.500 0.500 0.352
```

## Properties
Final energy ... -38.0110 eV per atom
Energy relative to the elements ... -0.242 eV per atom


# 4
Density functional theory data (meta-GGA SCAN) for NiSbI2Br at its PBEsol-relaxed geometry.

Geometry as CIF:
```
data_NiSbI2Br
_chemical_formula_sum 'Ni1 Sb1 I2 Br1'
_space_group_name_H-M_alt 'P 4/m m m'
_space_group_IT_number 123
_space_group_name_Hall '-P 4 2'
_cell_length_a 5.057
_cell_length_b 5.057
_cell_length_c 5.172
_cell_angle_alpha 90.00
_cell_angle_beta 90.00
_cell_angle_gamma 90.00
loop_
_atom_site_label
_atom_site_fract_x
_atom_site_fract_y
_atom_site_fract_z
Ni1 0.000 0.000 0.000
Sb1 0.000 0.000 0.500
I1 0.000 0.500 0.000
Br1 0.500 0.500 0.500
```

## Properties
Final energy ... -29.0503 eV per atom
Formation energy from raw total energies ... 0.225 eV per atom
Offset from the most stable computed form ... 0.0000 eV/atom